[1]
# TbPuAu2

An optimized crystal structure of TbPuAu2 (PBE, Alexandria via LeMat-Bulk).

Output
The formation enthalpy at 0 K is -0.628 eV per atom. The total energy is -7.01 eV/atom. For the offset from the most stable computed form, the calculation gives 0.000 eV/atom.

extended XYZ file:
```
4
Lattice="3.596 0.000 0.000 0.000 3.596 0.000 0.000 0.000 7.366" Properties=species:S:1:pos:R:3 pbc="T T T"
Tb 1.798 1.798 3.683
Au 0.000 0.000 5.412
Au 0.000 0.000 1.955
Pu 1.798 1.798 0.000
```

---

[2]
# TbPuAu6

An optimized crystal structure of TbPuAu6 (PBE, Alexandria via LeMat-Bulk).

Output
The formation enthalpy at 0 K is -0.514 eV per atom. The total energy is -5.34 eV/atom.

extended XYZ file:
```
8
Lattice="4.717 0.000 1.288 2.371 4.248 0.597 0.226 -1.301 8.455" Properties=species:S:1:pos:R:3 pbc="T T T"
Tb 0.000 0.000 0.000
Pu 1.299 1.473 4.526
Au 3.382 2.905 6.177
Au 3.122 0.081 7.133
Au 2.102 1.435 1.585
Au 4.193 2.865 3.207
Au 3.932 0.041 4.163
Au 5.213 1.511 8.755
```

---

[3]
# TbPu2Au

An optimized crystal structure of TbPu2Au (PBE, Alexandria via LeMat-Bulk).

Output
The formation enthalpy at 0 K is -0.084 eV per atom. The total energy is -9.23 eV/atom. For the offset from the most stable computed form, the calculation gives 0.108 eV/atom.

extended XYZ file:
```
4
Lattice="4.036 0.000 0.000 0.000 4.036 0.000 0.000 0.000 6.429" Properties=species:S:1:pos:R:3 pbc="T T T"
Tb 2.018 2.018 3.215
Au 2.018 2.018 0.000
Pu 0.000 0.000 4.989
Pu 0.000 0.000 1.441
```

---

[4]
# TbPuAu2

An optimized crystal structure of TbPuAu2 (PBE, Alexandria via LeMat-Bulk).

Output
The formation enthalpy at 0 K is -0.595 eV per atom. The total energy is -6.97 eV/atom. For the offset from the most stable computed form, the calculation gives 0.033 eV/atom.

extended XYZ file:
```
4
Lattice="-3.799 -1.632 3.048 -0.574 -5.020 0.926 1.073 -1.893 4.653" Properties=species:S:1:pos:R:3 pbc="T T T"
Tb 0.000 0.000 0.000
Au -0.825 -2.136 2.157
Au -2.475 -6.408 6.470
Pu -1.650 -4.272 4.313
```

---

[5]
# TbPu5Au6

An optimized crystal structure of TbPu5Au6 (PBE, Alexandria via LeMat-Bulk).

Output
The formation enthalpy at 0 K is -0.466 eV per atom. The total energy is -8.46 eV/atom.

extended XYZ file:
```
12
Lattice="-3.149 1.834 3.573 -3.958 -6.234 -0.289 0.631 -5.119 7.308" Properties=species:S:1:pos:R:3 pbc="T T T"
Au -4.784 -3.890 5.144
Au -2.697 -0.604 5.296
Au -4.019 -9.046 8.870
Au -2.457 -0.473 1.722
Au -3.778 -8.915 5.296
Au -1.692 -5.629 5.448
Tb 0.000 0.000 0.000
Pu -2.506 -3.118 7.096
Pu -2.223 -3.127 3.415
Pu -1.979 -3.117 -0.144
Pu -4.253 -6.392 7.177
Pu -3.969 -6.402 3.496
```

---

[6]
# Tb2PuAu3

An optimized crystal structure of Tb2PuAu3 (PBE, Alexandria via LeMat-Bulk).

Output
The formation enthalpy at 0 K is -0.705 eV per atom. The total energy is -6.28 eV/atom.

extended XYZ file:
```
6
Lattice="-1.534 -1.932 2.617 3.110 -1.719 0.553 2.923 7.660 7.371" Properties=species:S:1:pos:R:3 pbc="T T T"
Tb 3.226 4.564 7.733
Tb 1.273 -0.555 2.808
Pu 2.249 2.004 5.270
Au 0.000 0.000 0.000
Au 1.985 5.203 5.006
Au 0.938 2.457 2.364
```

---

[7]
# TbPu2Au

An optimized crystal structure of TbPu2Au (PBE, Alexandria via LeMat-Bulk).

Output
The formation enthalpy at 0 K is 0.042 eV per atom. The total energy is -9.10 eV/atom. For the offset from the most stable computed form, the calculation gives 0.234 eV/atom.

extended XYZ file:
```
4
Lattice="-1.003 1.436 -2.968 1.624 -0.794 -2.934 -6.589 -7.814 -3.555" Properties=species:S:1:pos:R:3 pbc="T T T"
Tb -2.984 -3.586 -4.728
Au 0.000 0.000 0.000
Pu -1.314 -1.582 -2.322
Pu -4.655 -5.589 -7.134
```

---

[8]
# TbPuZnAu

An optimized crystal structure of TbPuZnAu (PBE, Alexandria via LeMat-Bulk).

Output
The formation enthalpy at 0 K is -0.364 eV per atom. The total energy is -6.24 eV/atom.

extended XYZ file:
```
4
Lattice="5.114 0.000 0.000 2.557 4.429 0.000 2.557 1.476 4.175" Properties=species:S:1:pos:R:3 pbc="T T T"
Tb 2.557 1.476 1.044
Zn 0.000 0.000 0.000
Au 5.114 2.953 2.088
Pu 7.671 4.429 3.132
```